# KAs3S

Crystalline KAs3S at its relaxed geometry (GGA-PBEsol, Alexandria via LeMat-Bulk).

The total energy comes out at -3.800 eV/atom. The formation energy without anion corrections is 367 meV/atom.

```
KAs3S
1.0
4.9153 0.0000 0.0000
0.0000 4.9153 0.0000
0.0000 0.0000 4.9153
K As S
1 3 1
Direct
0.0000 0.0000 0.0000
0.0000 0.5000 0.5000
0.5000 0.0000 0.5000
0.5000 0.5000 0.0000
0.5000 0.5000 0.5000
```